(A)
SmY2Pt2 | Alexandria via LeMat-Bulk | GGA-PBE | relaxed; volume = 24.90 A^3/atom; space group = Cmcm, No. 63; calculated density = 9.58 g/cm³
1.0
-3.091 -2.241 -0.242
1.464 -2.423 3.724
-5.400 9.796 8.496
Y Pt Sm
4 4 2
direct
0.731 0.250 0.463
0.051 0.250 0.101
0.269 0.750 0.537
0.949 0.750 0.899
0.468 0.250 0.936
0.157 0.250 0.313
0.843 0.750 0.687
0.532 0.750 0.064
0.636 0.750 0.272
0.364 0.250 0.728

(B)
SmY2Pt2 | Alexandria via LeMat-Bulk | GGA-PBE | relaxed; volume = 24.35 A^3/atom; space group = P4/mbm, No. 127; calculated density = 9.80 g/cm³
1.0
3.987 0.000 0.000
0.000 7.816 0.000
0.000 0.000 7.816
Pt Y Sm
4 4 2
direct
0.000 0.363 0.863
0.000 0.137 0.363
0.000 0.637 0.137
0.000 0.863 0.637
0.500 0.160 0.660
0.500 0.840 0.340
0.500 0.660 0.840
0.500 0.340 0.160
0.000 0.500 0.500
0.000 0.000 0.000

The energy of each structure relative to the most stable one, in meV per atom, is as follows: (A) 50; (B) 0.